Ca2Mg4Zn | PBEsol | optimized geometry

Lattice parameters (Å, degrees): 6.5323 6.5323 6.5323 98.97 114.96 114.96
Last column: nearest neighbours and their distance in Å.
Atoms (fractional coordinates):
1 Ca 0.5000 0.2500 0.7500  8 Mg 3.28
2 Ca 0.5000 0.7500 0.2500  8 Mg 3.28
3 Mg 0.0000 0.7194 0.2806  1 Zn 2.79, 2 Mg 3.08
4 Mg 0.0000 0.2806 0.7194  1 Zn 2.79, 2 Mg 3.08
5 Mg 0.5612 0.2806 0.2806  1 Zn 2.79, 2 Mg 3.08
6 Mg 0.4388 0.7194 0.7194  1 Zn 2.79, 2 Mg 3.08
7 Zn 0.0000 0.0000 0.0000  4 Mg 2.79

Summary:
- SG: I4/mmm, No. 139
- DFT formation energy: 247 meV/atom
- Total energy: -11.0 eV per cell